No. 1
Nb2CoB | GGA-PBE | relaxed

Output
SG: F-43m
density: 7.76 g/cm3
crystal system: cubic
calculated total energy: -7.91 eV/atom

Structure (CIF):
```
data_Nb2CoB
_cell_length_a 4.2610
_cell_length_b 4.2610
_cell_length_c 4.2610
_cell_angle_alpha 60.00
_cell_angle_beta 60.00
_cell_angle_gamma 60.00
_symmetry_space_group_name_H-M 'P 1'
_symmetry_Int_Tables_number 1
loop_
_symmetry_equiv_pos_as_xyz
'x,y,z'
loop_
_atom_site_label
_atom_site_type_symbol
_atom_site_fract_x
_atom_site_fract_y
_atom_site_fract_z
_atom_site_occupancy
B1 B 0.5000 0.5000 0.5000 1
Nb1 Nb 0.7500 0.7500 0.7500 1
Co1 Co 0.2500 0.2500 0.2500 1
Nb2 Nb 0.0000 0.0000 0.0000 1
```


No. 2
LiZn4Cu2Pt | GGA-PBE | relaxed

Output
SG: Pmm2
density: 9.06 g/cm3
crystal system: orthorhombic
calculated total energy: -2.80 eV/atom

Structure (CIF):
```
data_LiZn4Cu2Pt
_cell_length_a 4.3560
_cell_length_b 5.4203
_cell_length_c 4.5879
_cell_angle_alpha 90.00
_cell_angle_beta 90.00
_cell_angle_gamma 90.00
_symmetry_space_group_name_H-M 'P 1'
_symmetry_Int_Tables_number 1
loop_
_symmetry_equiv_pos_as_xyz
'x,y,z'
loop_
_atom_site_label
_atom_site_type_symbol
_atom_site_fract_x
_atom_site_fract_y
_atom_site_fract_z
_atom_site_occupancy
Zn1 Zn 0.0000 0.2487 0.1791 1
Zn2 Zn 0.5000 0.2479 0.8197 1
Zn3 Zn 0.0000 0.7513 0.1791 1
Pt1 Pt 0.5000 0.5000 0.3297 1
Cu1 Cu 0.5000 0.0000 0.3181 1
Zn4 Zn 0.5000 0.7521 0.8197 1
Cu2 Cu 0.0000 0.5000 0.6838 1
Li1 Li 0.0000 0.0000 0.6708 1
```


No. 3
BiPd8 | GGA-PBE | relaxed

Output
distance to the lowest polymorph of the same formula: 79.4 meV per atom
SG: C2/m
density: 7.24 g/cm3
crystal system: monoclinic

Structure (CIF):
```
data_BiPd8
_cell_length_a 4.7876
_cell_length_b 4.7876
_cell_length_c 28.3493
_cell_angle_alpha 90.43
_cell_angle_beta 90.43
_cell_angle_gamma 48.42
_symmetry_space_group_name_H-M 'P 1'
_symmetry_Int_Tables_number 1
loop_
_symmetry_equiv_pos_as_xyz
'x,y,z'
loop_
_atom_site_label
_atom_site_type_symbol
_atom_site_fract_x
_atom_site_fract_y
_atom_site_fract_z
_atom_site_occupancy
Pd1 Pd 0.5459 0.5459 0.1091 1
Pd2 Pd 0.9458 0.9458 0.0465 1
Pd3 Pd 0.4541 0.4541 0.8909 1
Bi1 Bi 0.0555 0.0555 0.2686 1
Pd4 Pd 0.8500 0.8500 0.8284 1
Pd5 Pd 0.1531 0.1531 0.8595 1
Pd6 Pd 0.6481 0.6481 0.0157 1
Pd7 Pd 0.2452 0.2452 0.0774 1
Pd8 Pd 0.7537 0.7537 0.2369 1
Bi2 Bi 0.9445 0.9445 0.7314 1
Pd9 Pd 0.2463 0.2463 0.7631 1
Pd10 Pd 0.8469 0.8469 0.1405 1
Pd11 Pd 0.1500 0.1500 0.1716 1
Pd12 Pd 0.0542 0.0542 0.9535 1
Pd13 Pd 0.5505 0.5505 0.7954 1
Pd14 Pd 0.7548 0.7548 0.9226 1
Pd15 Pd 0.3519 0.3519 0.9843 1
Pd16 Pd 0.4495 0.4495 0.2046 1
```


No. 4
ZnGaCuHg | GGA-PBE | relaxed

Output
distance to the lowest polymorph of the same formula: 35.1 meV per atom
SG: F-43m
density: 9.50 g/cm3
crystal system: cubic

Structure (CIF):
```
data_ZnGaCuHg
_cell_length_a 4.6209
_cell_length_b 4.6209
_cell_length_c 4.6209
_cell_angle_alpha 60.00
_cell_angle_beta 60.00
_cell_angle_gamma 60.00
_symmetry_space_group_name_H-M 'P 1'
_symmetry_Int_Tables_number 1
loop_
_symmetry_equiv_pos_as_xyz
'x,y,z'
loop_
_atom_site_label
_atom_site_type_symbol
_atom_site_fract_x
_atom_site_fract_y
_atom_site_fract_z
_atom_site_occupancy
Ga1 Ga 0.0000 0.0000 0.0000 1
Cu1 Cu 0.7500 0.7500 0.7500 1
Zn1 Zn 0.5000 0.5000 0.5000 1
Hg1 Hg 0.2500 0.2500 0.2500 1
```


Question: Which of these has the lowest density?
Answer: BiPd8